! CoTePbO6, optimized geometry, DFT GGA+U; values from VASP
&SYSTEM
  ibrav = 0, nat = 9, ntyp = 4
/
ATOMIC_SPECIES
Co 58.93 Co.upf
Te 127.60 Te.upf
Pb 207.20 Pb.upf
O 16.00 O.upf
CELL_PARAMETERS angstrom
5.1246 0.0000 0.0000
-2.5623 4.4380 0.0000
0.0000 0.0000 5.0913
ATOMIC_POSITIONS crystal
Co 0.0000 0.0000 0.0000
Te 0.3333 0.6667 0.0000
Pb 0.6667 0.3333 0.5000
O 0.0405 0.3263 0.2134
O 0.0405 0.7142 0.7866
O 0.2858 0.3263 0.7866
O 0.2858 0.9595 0.2134
O 0.6737 0.7142 0.2134
O 0.6737 0.9595 0.7866
! total DFT energy (no corrections)	-0.206	hartree per atom